Entry from Alexandria via LeMat-Bulk: a relaxed SrPRu2 crystal (PBE).

The structure in CIF format:
```
data_SrPRu2
_chemical_formula_sum 'Sr2 P2 Ru4'
_space_group_name_H-M_alt 'C 1 2/m 1'
_space_group_IT_number 12
_space_group_name_Hall '-C 2y'
_cell_length_a 5.9195
_cell_length_b 9.0794
_cell_length_c 2.9366
_cell_angle_alpha 90.00
_cell_angle_beta 119.71
_cell_angle_gamma 90.00
loop_
_atom_site_label
_atom_site_type_symbol
_atom_site_fract_x
_atom_site_fract_y
_atom_site_fract_z
Sr1 Sr 0.0000 0.0000 0.0000
P1 P 0.0000 0.5000 0.0000
Ru1 Ru 0.2500 0.2500 0.5000
```

V: 137 Å³/cell
energy relative to the elements: 54 kJ/mol of atoms

---

Entry from Alexandria via LeMat-Bulk: a relaxed BeGaN3 crystal (PBE).

The structure in CIF format:
```
data_BeGaN3
_chemical_formula_sum 'Be1 Ga1 N3'
_space_group_name_H-M_alt 'P m -3 m'
_space_group_IT_number 221
_space_group_name_Hall '-P 4 2 3'
_cell_length_a 3.8311
_cell_length_b 3.8311
_cell_length_c 3.8311
_cell_angle_alpha 90.00
_cell_angle_beta 90.00
_cell_angle_gamma 90.00
loop_
_atom_site_label
_atom_site_type_symbol
_atom_site_fract_x
_atom_site_fract_y
_atom_site_fract_z
Be1 Be 0.0000 0.0000 0.0000
Ga1 Ga 0.5000 0.5000 0.5000
N1 N 0.0000 0.5000 0.5000
```

V: 56 Å³/cell
raw formation energy: 1.975 eV per atom

---

Entry from Alexandria via LeMat-Bulk: a relaxed La2AlHgC crystal (PBE).

The structure in CIF format:
```
data_La2AlHgC
_chemical_formula_sum 'La2 Al1 Hg1 C1'
_space_group_name_H-M_alt 'P 4/m m m'
_space_group_IT_number 123
_space_group_name_Hall '-P 4 2'
_cell_length_a 5.4342
_cell_length_b 5.4342
_cell_length_c 3.9887
_cell_angle_alpha 90.00
_cell_angle_beta 90.00
_cell_angle_gamma 90.00
loop_
_atom_site_label
_atom_site_type_symbol
_atom_site_fract_x
_atom_site_fract_y
_atom_site_fract_z
La1 La 0.0000 0.5000 0.0000
Al1 Al 0.0000 0.0000 0.5000
Hg1 Hg 0.5000 0.5000 0.5000
C1 C 0.0000 0.0000 0.0000
```

V: 118 Å³/cell
energy relative to the elements: -28 kJ/mol of atoms

---

Entry from Alexandria via LeMat-Bulk: a relaxed Ba2CdPd5Pt2 crystal (PBE).

The structure in CIF format:
```
data_Ba2CdPd5Pt2
_chemical_formula_sum 'Ba4 Cd2 Pd10 Pt4'
_space_group_name_H-M_alt 'P 4/m b m'
_space_group_IT_number 127
_space_group_name_Hall '-P 4 2ab'
_cell_length_a 10.2927
_cell_length_b 10.2927
_cell_length_c 3.9837
_cell_angle_alpha 90.00
_cell_angle_beta 90.00
_cell_angle_gamma 90.00
loop_
_atom_site_label
_atom_site_type_symbol
_atom_site_fract_x
_atom_site_fract_y
_atom_site_fract_z
Ba1 Ba 0.1746 0.3254 0.0000
Cd1 Cd 0.0000 0.0000 0.0000
Pd1 Pd 0.0000 0.5000 0.5000
Pd2 Pd 0.0597 0.8035 0.5000
Pt1 Pt 0.1238 0.6238 0.0000
```

V: 422 Å³/cell
energy relative to the elements: -34 kJ/mol of atoms